(1)
SrLaIn: optimized geometry, GGA-PBE.

The structure in extended XYZ format:
```
6
Lattice="3.992 0.003 0.001 -0.005 8.176 0.014 1.993 2.149 6.793" Properties=species:S:1:pos:R:3 pbc="T T T"
Sr 3.228 8.902 6.422
Sr 3.232 4.697 2.513
La 3.231 4.693 6.351
La 3.228 8.916 2.572
In 5.226 6.807 4.460
In 5.228 2.712 4.463
```

As for the total magnetization: 0.7 μB per cell. For the calculated volume, the calculation gives 36.93 Å³/atom. The value obtained for the formation enthalpy at 0 K is -24 kJ per mole of atoms.

(2)
SrLaIn2: optimized geometry, GGA-PBE.

The structure in extended XYZ format:
```
4
Lattice="4.325 0.000 0.000 0.000 4.325 0.000 0.000 0.000 7.262" Properties=species:S:1:pos:R:3 pbc="T T T"
In 0.000 0.000 0.062
In 2.163 2.163 1.826
La 0.000 0.000 3.325
Sr 2.163 2.163 5.679
```

As for the total magnetization: 0.0 μB per cell. For the calculated volume, the calculation gives 33.96 Å³/atom. The value obtained for the formation enthalpy at 0 K is -16 kJ per mole of atoms.

(3)
Sr3LaIn: optimized geometry, GGA-PBE.

The structure in extended XYZ format:
```
5
Lattice="6.205 0.000 0.000 0.000 6.205 0.000 0.000 0.000 6.205" Properties=species:S:1:pos:R:3 pbc="T T T"
Sr 0.000 3.102 0.000
Sr 0.000 0.000 3.102
Sr 3.102 0.000 0.000
In 0.000 0.000 0.000
La 3.102 3.102 3.102
```

As for the total magnetization: 0.0 μB per cell. For the calculated volume, the calculation gives 47.77 Å³/atom. The value obtained for the formation enthalpy at 0 K is 21 kJ per mole of atoms.

(4)
SrLaIn: optimized geometry, GGA-PBE.

The structure in extended XYZ format:
```
6
Lattice="4.389 0.001 -0.001 0.000 3.912 -0.002 -0.001 -3.912 13.165" Properties=species:S:1:pos:R:3 pbc="T T T"
Sr 3.899 0.905 3.887
Sr 1.705 2.860 0.729
La 3.897 -3.007 11.053
La 3.898 0.904 7.665
In 1.703 -1.051 9.451
In 1.704 -1.052 5.847
```

As for the total magnetization: 0.0 μB per cell. For the calculated volume, the calculation gives 37.67 Å³/atom. The value obtained for the formation enthalpy at 0 K is -27 kJ per mole of atoms.

(5)
Sr2LaIn: optimized geometry, GGA-PBE.

The structure in extended XYZ format:
```
4
Lattice="-8.770 0.654 8.537 -6.287 -1.789 10.368 -5.757 2.102 10.613" Properties=species:S:1:pos:R:3 pbc="T T T"
In -5.203 0.242 7.379
La -15.610 0.725 22.138
Sr -20.604 0.957 29.222
Sr -10.615 0.493 15.055
```

As for the total magnetization: 0.5 μB per cell. For the calculated volume, the calculation gives 40.38 Å³/atom. The value obtained for the formation enthalpy at 0 K is -3 kJ per mole of atoms.

(6)
SrLaIn: optimized geometry, GGA-PBE.

The structure in extended XYZ format:
```
6
Lattice="4.145 0.000 0.000 0.000 5.834 0.001 0.000 2.922 8.794" Properties=species:S:1:pos:R:3 pbc="T T T"
Sr 0.218 4.033 3.468
Sr 2.291 4.038 6.820
La 2.291 6.950 3.733
La 2.291 4.031 0.371
In 0.219 1.113 1.019
In 0.218 6.958 6.346
```

As for the total magnetization: 0.0 μB per cell. For the calculated volume, the calculation gives 35.44 Å³/atom. The value obtained for the formation enthalpy at 0 K is -24 kJ per mole of atoms.

(7)
SrLa3In2: optimized geometry, GGA-PBE.

The structure in extended XYZ format:
```
12
Lattice="5.677 0.000 0.000 0.000 7.220 0.000 0.000 0.000 9.886" Properties=species:S:1:pos:R:3 pbc="T T T"
Sr 2.838 3.620 5.071
Sr 2.838 0.010 4.815
La 0.000 3.605 9.755
La 0.000 7.215 0.130
La 2.838 5.309 1.608
La 2.838 1.699 8.278
La 0.000 1.904 3.253
La 0.000 5.514 6.632
In 2.838 5.392 8.255
In 2.838 1.782 1.631
In 0.000 1.830 6.587
In 0.000 5.440 3.299
```

As for the total magnetization: 0.8 μB per cell. For the calculated volume, the calculation gives 33.76 Å³/atom. The value obtained for the formation enthalpy at 0 K is -35 kJ per mole of atoms.

(8)
SrLaIn2: optimized geometry, GGA-PBE.

The structure in extended XYZ format:
```
4
Lattice="-0.680 -4.177 3.533 1.975 -5.091 0.757 5.358 1.249 4.713" Properties=species:S:1:pos:R:3 pbc="T T T"
In 5.151 1.196 4.532
In 3.534 -3.958 4.683
La 4.990 -6.015 6.753
Sr 1.663 -2.005 2.251
```

As for the total magnetization: 0.0 μB per cell. For the calculated volume, the calculation gives 36.00 Å³/atom. The value obtained for the formation enthalpy at 0 K is -26 kJ per mole of atoms.